AlVRh6: relaxed, PBE.

Unit cell a=5.419 b=5.419 c=3.795 alpha=90.00 beta=90.00 gamma=90.00
Positions (direct):
Al: 0.000 0.000 0.000
V: 0.500 0.500 0.000
Rh: 0.000 0.500 0.000
Rh: 0.252 0.252 0.500
Rh: 0.252 0.748 0.500
Rh: 0.500 0.000 0.000
Rh: 0.748 0.252 0.500
Rh: 0.748 0.748 0.500

**Uncorrected energy**: -7.57 eV/atom
**Total magnetic moment**: 0.0000 μB per atom
**Fermi-level density of states**: 0.9834 states/eV/atom